A plane-wave DFT calculation with PBE with a Hubbard U was carried out for crystalline AgBiMoO5 at its relaxed geometry.

## Properties
- SG: No. 15
- Total energy: -5.98 eV/atom
- V: 312 Å³ per cell

```
16
Lattice="-1.593 1.449 -6.032 2.199 -5.791 -1.626 -7.224 -0.936 4.679" Properties=species:S:1:pos:R:3 pbc="T T T"
Ag -0.755 -3.833 -1.790
Ag -5.863 -1.445 -1.188
Bi -3.612 -0.468 2.340
Bi 0.000 0.000 0.000
Mo -2.018 -1.421 -3.258
Mo -4.599 -3.857 0.279
O 0.119 -5.502 -0.775
O -6.737 0.223 -2.204
O -1.284 -0.502 -4.611
O -5.333 -4.776 1.632
O -3.617 -0.689 -2.910
O -3.001 -4.589 -0.069
O -2.221 -3.166 -3.711
O -4.396 -2.113 0.732
O -0.947 -1.334 -1.797
O -5.670 -3.944 -1.182
```